Entry P
DFT (PBE with a Hubbard U) results for MgCr3O after structural relaxation. Values from VASP.

Cell and atoms, written as Quantum ESPRESSO input:
```
&SYSTEM
  ibrav = 0, nat = 5, ntyp = 3
/
ATOMIC_SPECIES
Cr 52.00 Cr.upf
Mg 24.30 Mg.upf
O 16.00 O.upf
CELL_PARAMETERS angstrom
-1.179 -4.230 2.472
4.775 -0.422 1.555
-1.098 2.706 4.107
ATOMIC_POSITIONS crystal
Cr 0.000 0.500 0.000
Cr 0.000 0.000 0.500
Cr 0.500 0.000 0.000
Mg 0.000 0.000 0.000
O 0.500 0.500 0.500
```

Output
The space group is Pm-3m. The magnetic moment is 2.802 μB/atom. As for the volume: 25.590 Å³ per atom.

=====

Entry Q
DFT (PBE with a Hubbard U) results for MgCr3O after structural relaxation. Values from VASP.

Cell and atoms, written as Quantum ESPRESSO input:
```
&SYSTEM
  ibrav = 0, nat = 5, ntyp = 3
/
ATOMIC_SPECIES
Cr 52.00 Cr.upf
Mg 24.30 Mg.upf
O 16.00 O.upf
CELL_PARAMETERS angstrom
-2.154 1.461 3.482
-3.763 -0.495 -2.119
-0.316 -4.064 1.510
ATOMIC_POSITIONS crystal
Cr 0.000 0.500 0.000
Cr 0.000 0.000 0.500
Cr 0.500 0.000 0.000
Mg 0.500 0.500 0.500
O 0.000 0.000 0.000
```

Output
The space group is Pm-3m. The magnetic moment is 2.440 μB/atom. As for the volume: 16.435 Å³ per atom.

=====

In order of decreasing stability: entry Q, entry P.

=====

Entry P
DFT (PBE with a Hubbard U) results for Mg6CrSnO8 after structural relaxation. Values from VASP.

Cell and atoms, written as Quantum ESPRESSO input:
```
&SYSTEM
  ibrav = 0, nat = 16, ntyp = 4
/
ATOMIC_SPECIES
Mg 24.30 Mg.upf
Cr 52.00 Cr.upf
Sn 118.71 Sn.upf
O 16.00 O.upf
CELL_PARAMETERS angstrom
-4.269 1.299 -0.541
-1.129 -4.194 -1.159
-1.638 -1.882 8.406
ATOMIC_POSITIONS crystal
Mg 0.500 0.500 0.000
Mg 0.500 0.500 0.500
Mg 0.000 0.500 0.261
Mg 0.000 0.500 0.739
Mg 0.500 0.000 0.261
Mg 0.500 0.000 0.739
Cr 0.000 0.000 0.500
Sn 0.000 0.000 0.000
O 0.000 0.000 0.269
O 0.000 0.000 0.731
O 0.500 0.500 0.251
O 0.500 0.500 0.749
O 0.000 0.500 0.000
O 0.000 0.500 0.500
O 0.500 0.000 0.000
O 0.500 0.000 0.500
```

Output
The space group is P4/mmm. The magnetic moment is 0.253 μB/atom. As for the volume: 11.074 Å³ per atom.

=====

Entry Q
DFT (PBE with a Hubbard U) results for Mg6CrSnO8 after structural relaxation. Values from VASP.

Cell and atoms, written as Quantum ESPRESSO input:
```
&SYSTEM
  ibrav = 0, nat = 16, ntyp = 4
/
ATOMIC_SPECIES
Mg 24.30 Mg.upf
Cr 52.00 Cr.upf
Sn 118.71 Sn.upf
O 16.00 O.upf
CELL_PARAMETERS angstrom
-3.088 -3.032 -0.786
1.474 -2.381 3.392
-5.734 4.394 5.576
ATOMIC_POSITIONS crystal
Mg 0.000 0.000 0.500
Mg 0.500 0.500 0.500
Mg 0.000 0.500 0.269
Mg 0.000 0.500 0.731
Mg 0.500 0.000 0.269
Mg 0.500 0.000 0.731
Cr 0.500 0.500 0.000
Sn 0.000 0.000 0.000
O 0.000 0.000 0.272
O 0.000 0.000 0.728
O 0.500 0.500 0.271
O 0.500 0.500 0.729
O 0.000 0.500 0.000
O 0.000 0.500 0.500
O 0.500 0.000 0.000
O 0.500 0.000 0.500
```

Output
The space group is P4/mmm. The magnetic moment is 0.269 μB/atom. As for the volume: 11.035 Å³ per atom.

=====

In order of decreasing stability: entry Q, entry P.